Computed, not measured: a geometry-optimized Ba2Nb2B structure at the PBE level of DFT.

a = 6.357 Å, b = 6.357 Å, c = 5.934 Å
α = 90.00°, β = 90.00°, γ = 90.00°
Element x y z (fractional)
Nb 0.342 0.842 0.000
Nb 0.842 0.658 0.000
Nb 0.658 0.158 0.000
Nb 0.158 0.342 0.000
B 0.000 0.000 0.000
B 0.500 0.500 0.000
Ba 0.181 0.681 0.500
Ba 0.681 0.819 0.500
Ba 0.819 0.319 0.500
Ba 0.319 0.181 0.500

- Electronic total energy: -26.6 eV/f.u.
- E_form: 0.82 eV/atom
- Space-group type: P4/mbm, No. 127
- Spin magnetization: 0.00 μB/f.u.
- Relative energy among the computed polymorphs: 0.000 eV/atom
- Crystal system: tetragonal

***

Computed, not measured: a geometry-optimized Ba2Nb2B structure at the PBE level of DFT.

a = 6.613 Å, b = 6.613 Å, c = 5.788 Å
α = 55.16°, β = 55.16°, γ = 90.00°
Element x y z (fractional)
Nb 0.336 0.336 0.329
Nb 0.664 0.664 0.671
B 0.000 0.000 0.000
Ba 0.750 0.250 0.500
Ba 0.250 0.750 0.500

- Electronic total energy: -24.3 eV/f.u.
- E_form: 1.28 eV/atom
- Space-group type: I4/mmm, No. 139
- Spin magnetization: 0.00 μB/f.u.
- Relative energy among the computed polymorphs: 0.462 eV/atom
- Crystal system: tetragonal